The following is a PBE calculation of crystalline Y2Th5C4 at its relaxed geometry, from Alexandria via LeMat-Bulk.

Cell: 3.587 8.604 9.332 Å, 61.52 101.08 90.00°
Sites, in units of the cell vectors:
Th  0.935  0.399  0.870
Th  0.711  0.712  0.421
Th  0.065  0.601  0.130
C  0.317  0.560  0.633
Th  0.500  0.000  0.000
C  0.929  0.892  0.857
Y  0.359  0.816  0.719
C  0.683  0.440  0.367
Y  0.641  0.184  0.281
Th  0.289  0.288  0.579
C  0.071  0.108  0.143

Space-group type: C2/m (12)
Spin magnetization (μB per cell): 0.0
E (hartree per atom): -0.29399
Energy of formation from the pure elements (eV/atom): -0.098